[1]
The following is a DFT calculation (PBE) of crystalline Cs3CaSm2S6 at its relaxed geometry.

extended XYZ file:
```
12
Lattice="-4.209 3.199 5.039 4.172 -5.712 1.818 6.046 5.838 -0.418" Properties=species:S:1:pos:R:3 pbc="T T T"
S 1.088 -0.736 4.869
S 2.541 -1.017 0.966
S -0.314 2.018 2.062
S 4.921 4.060 1.571
S 3.468 4.341 5.474
S 6.322 1.307 4.377
Cs 5.818 -1.329 2.139
Cs 3.004 1.662 3.220
Cs 0.191 4.653 4.301
Sm -1.417 0.230 3.966
Sm 1.379 -2.743 2.891
Ca 0.000 0.000 0.000
```

The calculation puts the uncorrected formation energy at -1.633 eV per atom. The total magnetic moment comes out at 0.00 μB per atom.


[2]
The following is a DFT calculation (PBE) of crystalline OsS2I at its relaxed geometry.

extended XYZ file:
```
4
Lattice="2.130 0.000 7.653 -1.065 1.845 7.653 -1.065 -1.845 7.653" Properties=species:S:1:pos:R:3 pbc="T T T"
S 0.000 0.000 2.736
S 0.000 0.000 20.223
I 0.000 0.000 0.000
Os 0.000 0.000 11.480
```

The calculation puts the uncorrected formation energy at 0.054 eV per atom. The total magnetic moment comes out at 0.00 μB per atom.


[3]
The following is a DFT calculation (PBE) of crystalline YTiSi2Sn at its relaxed geometry.

extended XYZ file:
```
5
Lattice="4.848 0.000 0.000 0.000 5.227 0.000 0.000 0.000 4.848" Properties=species:S:1:pos:R:3 pbc="T T T"
Sn 2.424 2.613 2.424
Y 0.000 2.613 0.000
Ti 0.000 0.000 0.000
Si 0.000 0.000 2.424
Si 2.424 0.000 0.000
```

The calculation puts the uncorrected formation energy at 0.387 eV per atom. The total magnetic moment comes out at 0.00 μB per atom.


[4]
The following is a DFT calculation (PBE) of crystalline Ti3MnGa3Rh2 at its relaxed geometry.

extended XYZ file:
```
9
Lattice="2.986 0.000 0.000 0.000 7.157 0.000 0.000 -3.579 6.198" Properties=species:S:1:pos:R:3 pbc="T T T"
Ga 0.000 2.242 3.883
Ga 0.000 -1.336 2.315
Ga 0.000 2.673 0.000
Ti 1.493 0.969 1.679
Ti 1.493 -2.609 4.520
Ti 1.493 5.219 0.000
Mn 0.000 0.000 0.000
Rh 1.493 3.579 2.066
Rh 1.493 0.000 4.132
```

As for the formation enthalpy at 0 K: -599 meV/atom. The total magnetic moment comes out at 0.00 μB per atom.